Record 1
# KRbTi3

An optimized crystal structure of KRbTi3 (PBE, Alexandria).

a = 5.142 Å, b = 5.142 Å, c = 5.142 Å
α = 90.00°, β = 90.00°, γ = 90.00°
Space group Pm-3m (No. 221)
Symmetry-distinct sites (fractional):
1 K 0.000 0.000 0.000
2 Rb 0.500 0.500 0.500
3 Ti 0.000 0.500 0.500

Computed properties:
Formation energy = 2.23 eV/atom
Final energy = -14.60 eV per cell
Offset from the most stable computed form = 0.0 meV/atom


Record 2
# K2RbTi

An optimized crystal structure of K2RbTi (PBE, Alexandria).

a = 9.462 Å, b = 9.462 Å, c = 9.462 Å
α = 90.00°, β = 90.00°, γ = 90.00°
Space group Fm-3m (No. 225)
Symmetry-distinct sites (fractional):
1 K 0.250 0.250 0.250
2 Rb 0.000 0.000 0.000
3 Ti 0.000 0.000 0.500

Computed properties:
Formation energy = 0.87 eV/atom
Final energy = -30.35 eV per cell
Offset from the most stable computed form = 0.0 meV/atom